Entry from Alexandria via LeMat-Bulk: crystalline Pm3Ni5Te12 at its relaxed geometry (PBE-GGA).

Geometry as POSCAR:
```
Pm3Ni5Te12
1.0
-4.577 8.039 10.858
-1.935 -13.779 3.139
13.872 2.467 -2.225
Te Ni Pm
48 20 12
Cartesian
8.749 1.959 0.630
4.170 0.342 7.528
5.392 -7.445 2.279
8.717 -0.939 6.494
2.562 3.756 3.806
3.190 -10.890 2.937
7.432 1.281 9.430
10.516 -3.419 -0.281
5.514 -0.570 4.354
1.967 4.171 9.494
0.768 0.819 9.311
8.559 -5.001 5.703
3.189 -3.615 4.245
-1.389 -5.233 11.142
10.453 -7.390 3.855
-0.073 -4.555 2.342
8.424 -6.544 0.634
6.591 -4.093 2.462
4.648 4.116 6.674
-2.234 -5.278 7.088
2.051 -1.244 1.046
-1.031 -7.495 4.115
1.286 -6.475 8.235
7.431 -8.375 5.470
5.346 -3.276 7.063
9.252 -1.265 2.713
9.594 2.005 4.684
4.797 -7.029 7.967
-1.893 -2.009 9.060
-0.072 5.101 6.303
1.846 -2.704 7.419
6.074 3.201 3.537
-1.358 -2.334 5.278
-0.591 -11.580 3.593
5.308 -2.029 10.727
2.711 -7.390 5.098
-5.191 -5.857 11.741
5.843 -0.536 0.477
7.951 8.306 8.179
12.551 2.583 0.031
-1.065 3.271 11.138
8.390 4.222 7.657
-3.157 0.145 12.054
-3.093 4.116 7.918
2.013 0.003 4.710
4.170 7.616 8.836
-1.199 1.728 6.069
1.516 -2.738 11.296
6.936 1.233 -1.112
-0.466 -0.122 4.578
0.000 0.000 0.000
6.800 -1.616 2.501
5.968 -5.656 0.457
4.181 5.131 8.895
2.170 -3.546 1.978
-3.256 -2.870 6.999
3.178 -8.404 2.878
-1.104 -9.739 5.183
-0.968 -6.890 1.570
5.189 0.272 9.794
3.680 -1.637 5.886
0.559 -1.658 9.271
-2.289 4.019 5.429
7.826 -3.152 7.194
8.446 3.142 2.796
8.463 6.465 6.589
4.647 5.253 4.317
-1.086 -6.416 8.977
5.502 -5.778 5.036
-2.425 1.170 9.043
9.784 -4.444 2.730
0.542 -4.981 5.478
-0.779 5.928 9.337
-3.723 -2.992 11.577
8.139 -9.202 2.436
1.857 2.505 6.737
6.817 1.707 6.295
3.544 -4.486 9.500
11.082 -0.281 0.195
3.816 1.212 2.273
```

Properties
N(E_F)   0.8711 states/eV/atom
Symmetry   Ia-3d (230)
Total magnetic moment   0.00 μB per cell
V   2234.2 Å³ per cell
Final energy   -4.5558 eV/atom